# Cs4Er3MnO8

An optimized crystal structure of Cs4Er3MnO8 (PBE with a Hubbard U, Alexandria).

Lattice parameters (Å, degrees): 6.833 7.885 7.044 115.68 119.01 90.00
Element x y z (fractional)
Cs 0.500 0.000 0.000
Cs 0.500 0.000 0.500
Cs 0.000 0.000 0.000
Cs 0.000 0.000 0.500
Er 0.500 0.500 0.000
Er 0.500 0.500 0.500
Er 0.000 0.500 0.500
Mn 0.000 0.500 0.000
O 0.196 0.649 0.942
O 0.248 0.685 0.497
O 0.285 0.338 0.570
O 0.746 0.649 0.942
O 0.254 0.351 0.058
O 0.715 0.662 0.430
O 0.752 0.315 0.503
O 0.804 0.351 0.058

Values from the calculation:
magnetization: 3.96 Bohr magnetons per cell
calculated total energy: -100.708 eV for the cell shown
space-group type: C2/m, No. 12